A plane-wave DFT calculation with PBE-GGA was carried out for a geometry-optimized Gd2O3 structure.

Computed properties:
DFT total energy (eV for the cell shown): -59.3
Total magnetic moment (Bohr magnetons per cell): 14.00

abc: 3.8398 3.8398 5.6336
angles: 90.00 90.00 90.00
Last column: magnetic moment on the atom in μB.
Positions (direct):
Gd  0.5000  0.0000  0.7853  6.92
Gd  0.0000  0.5000  0.2147  6.92
O  0.0000  0.0000  0.0000  0.03
O  0.5000  0.5000  0.0000  -0.01
O  0.0000  0.0000  0.5000  0.00